Density functional theory data (PBE) for CrHgPt4 after structural relaxation.

a = 5.307 Å, b = 5.307 Å, c = 5.307 Å
α = 60.00°, β = 60.00°, γ = 60.00°
Last column: magnetic moment on the atom in μB.
Sites, in units of the cell vectors:
Hg: 0.000 0.000 0.000  -0.05
Pt: 0.375 0.875 0.375  -0.04
Pt: 0.375 0.375 0.875  -0.04
Cr: 0.750 0.750 0.750  3.66
Pt: 0.875 0.375 0.375  -0.04
Pt: 0.375 0.375 0.375  -0.04

Theoretical density: 16.23 g/cm³
Crystal system: cubic
Formation enthalpy at 0 K: 0.06 eV/atom
Space-group type: F-43m